PuAlSi2: relaxed, PBE-GGA.

abc: 5.317 5.317 5.317
angles: 47.06 47.06 47.06
Atoms (fractional coordinates):
Pu1 0.000 0.000 0.000
Al1 0.500 0.500 0.500
Si1 0.216 0.216 0.216
Si2 0.784 0.784 0.784

Computed properties:
DFT total energy	-29.91	eV per cell
ΔE_f (raw)	-247	meV/atom


PuAlSiTc: relaxed, PBE-GGA.

abc: 5.307 5.307 5.307
angles: 47.29 47.29 47.29
Atoms (fractional coordinates):
Pu1 0.000 0.000 0.000
Al1 0.787 0.787 0.787
Si1 0.212 0.212 0.212
Tc1 0.542 0.542 0.542

Computed properties:
DFT total energy	-34.92	eV per cell
ΔE_f (raw)	-264	meV/atom


PuAlSi2Tc: relaxed, PBE-GGA.

abc: 6.139 6.139 6.139
angles: 142.69 142.69 53.79
Atoms (fractional coordinates):
Pu1 0.000 0.000 0.000
Al1 0.250 0.750 0.500
Si1 0.392 0.392 0.000
Si2 0.608 0.608 0.000
Tc1 0.750 0.250 0.500

Computed properties:
DFT total energy	-41.55	eV per cell
ΔE_f (raw)	-453	meV/atom


> Among the records above, which one has the highest DFT total energy?

PuAlSi2


> Which value of ΔE_f (raw) does entry 3 give?

-453 meV/atom